# 1
Computed, not measured: a geometry-optimized SmAl3NiRh structure at the PBE-GGA level of DFT.

Properties
The calculation puts the calculated total energy at -5.3787 eV per atom. The formation energy is -3.192 eV per formula unit.

Lattice parameters (Å, degrees): 6.240 11.978 5.725 90.00 90.00 90.00
Space group Cmcm (No. 63)
Unique sites:
Sm 0.000 0.225 0.250 [4 per cell]
Al 0.000 0.353 0.750 [4 per cell]
Al 0.213 0.000 0.000 [8 per cell]
Ni 0.000 0.444 0.250 [4 per cell]
Rh 0.000 0.139 0.750 [4 per cell]


# 2
Computed, not measured: a geometry-optimized AlNi2SnRh structure at the PBE-GGA level of DFT.

Properties
The calculation puts the calculated total energy at -4.4094 eV per atom. The formation energy is 4.613 eV per formula unit.

Lattice parameters (Å, degrees): 4.569 4.569 4.863 90.00 90.00 90.00
Space group P4/mmm (No. 123)
Unique sites:
Al 0.000 0.000 0.000 [1 per cell]
Ni 0.000 0.500 0.500 [2 per cell]
Sn 0.500 0.500 0.500 [1 per cell]
Rh 0.500 0.500 0.000 [1 per cell]


# 3
Computed, not measured: a geometry-optimized AlNiSnRh structure at the PBE-GGA level of DFT.

Properties
The calculation puts the calculated total energy at -5.6536 eV per atom. The formation energy is -1.736 eV per formula unit.

Lattice parameters (Å, degrees): 6.205 6.205 6.205 90.00 90.00 90.00
Space group F-43m (No. 216)
Unique sites:
Al 0.000 0.000 0.000 [4 per cell]
Ni 0.250 0.250 0.750 [4 per cell]
Sn 0.000 0.000 0.500 [4 per cell]
Rh 0.250 0.250 0.250 [4 per cell]


# 4
Computed, not measured: a geometry-optimized ThAl2Ni2Rh structure at the PBE-GGA level of DFT.

Properties
The calculation puts the calculated total energy at -5.9156 eV per atom. The formation energy is -1.674 eV per formula unit.

Lattice parameters (Å, degrees): 4.597 4.597 5.333 90.00 90.00 90.00
Space group P4/mmm (No. 123)
Unique sites:
Th 0.000 0.000 0.000 [1 per cell]
Al 0.000 0.500 0.500 [2 per cell]
Ni 0.500 0.500 0.236 [2 per cell]
Rh 0.000 0.000 0.500 [1 per cell]